# 1
The following is a PBE-GGA calculation of a relaxed structure of CsTb4S6, from Alexandria.

space group	Cmcm, No. 63
calculated density	5.56	g/cm³
ΔE_f (raw)	-21.3	eV per formula unit
raw total energy	-130.8	eV per cell

Cell: 6.9828 6.9828 21.4468 Å, 90.00 90.00 146.68°
Fractional coordinates of all 22 atoms:
1 Cs 0.1519 0.8481 0.7500
2 Cs 0.8481 0.1519 0.2500
3 Tb 0.1010 0.8990 0.1319
4 Tb 0.1010 0.8990 0.3681
5 Tb 0.3694 0.6306 0.0394
6 Tb 0.3694 0.6306 0.4606
7 Tb 0.6306 0.3694 0.5394
8 Tb 0.6306 0.3694 0.9606
9 Tb 0.8990 0.1010 0.6319
10 Tb 0.8990 0.1010 0.8681
11 S 0.0000 0.0000 0.0000
12 S 0.0000 0.0000 0.5000
13 S 0.1451 0.8549 0.2500
14 S 0.2698 0.7302 0.5784
15 S 0.2698 0.7302 0.9216
16 S 0.4690 0.5310 0.1454
17 S 0.4690 0.5310 0.3546
18 S 0.5310 0.4690 0.6454
19 S 0.5310 0.4690 0.8546
20 S 0.7302 0.2698 0.0784
21 S 0.7302 0.2698 0.4216
22 S 0.8549 0.1451 0.7500



# 2
The following is a PBE-GGA calculation of a relaxed structure of Cs3TbS3, from Alexandria.

space group	P2_1/c, No. 14
calculated density	3.79	g/cm³
ΔE_f (raw)	-10.2	eV per formula unit
raw total energy	-119.1	eV per cell

Cell: 8.6995 14.7844 11.1975 Å, 90.00 127.26 90.00°
Fractional coordinates of all 28 atoms:
1 Cs 0.1123 0.1242 0.4751
2 Cs 0.1123 0.3758 0.9751
3 Cs 0.1680 0.1114 0.8843
4 Cs 0.1680 0.3886 0.3843
5 Cs 0.3255 0.6719 0.5382
6 Cs 0.3255 0.8281 0.0382
7 Cs 0.6745 0.1719 0.9618
8 Cs 0.6745 0.3281 0.4618
9 Cs 0.8320 0.6114 0.6157
10 Cs 0.8320 0.8886 0.1157
11 Cs 0.8877 0.6242 0.0249
12 Cs 0.8877 0.8758 0.5249
13 Tb 0.4487 0.0670 0.3402
14 Tb 0.4487 0.4330 0.8402
15 Tb 0.5513 0.5670 0.1598
16 Tb 0.5513 0.9330 0.6598
17 S 0.1858 0.1916 0.2032
18 S 0.1858 0.3084 0.7032
19 S 0.3306 0.5932 0.8652
20 S 0.3306 0.9068 0.3652
21 S 0.3651 0.5437 0.2694
22 S 0.3651 0.9563 0.7694
23 S 0.6349 0.0437 0.2306
24 S 0.6349 0.4563 0.7306
25 S 0.6694 0.0932 0.6348
26 S 0.6694 0.4068 0.1348
27 S 0.8142 0.6916 0.2968
28 S 0.8142 0.8084 0.7968



# 3
The following is a PBE-GGA calculation of a relaxed structure of Cs5TbS4, from Alexandria.

space group	C2/m, No. 12
calculated density	3.85	g/cm³
ΔE_f (raw)	-11.9	eV per formula unit
raw total energy	-37.4	eV per cell

Cell: 10.6075 10.6075 9.1231 Å, 105.80 105.80 24.60°
Fractional coordinates of all 10 atoms:
1 Cs 0.0000 0.0000 0.0000
2 Cs 0.3333 0.3333 0.6405
3 Cs 0.3407 0.3407 0.1513
4 Cs 0.6593 0.6593 0.8487
5 Cs 0.6667 0.6667 0.3595
6 Tb 0.0000 0.0000 0.5000
7 S 0.1419 0.1419 0.5942
8 S 0.4989 0.4989 0.7047
9 S 0.5011 0.5011 0.2953
10 S 0.8581 0.8581 0.4058



# 4
The following is a PBE-GGA calculation of a relaxed structure of Cs2TbTe2S6, from Alexandria.

space group	C2/m, No. 12
calculated density	3.84	g/cm³
ΔE_f (raw)	-8.2	eV per formula unit
raw total energy	-45.6	eV per cell

Cell: 6.8888 6.8888 9.1930 Å, 106.52 106.52 66.80°
Fractional coordinates of all 11 atoms:
1 Cs 0.1973 0.1973 0.1241
2 Cs 0.8027 0.8027 0.8759
3 Tb 0.0000 0.0000 0.5000
4 Te 0.4147 0.4147 0.7458
5 Te 0.5853 0.5853 0.2542
6 S 0.1894 0.7439 0.2492
7 S 0.2456 0.2456 0.5147
8 S 0.2561 0.8106 0.7508
9 S 0.7439 0.1894 0.2492
10 S 0.7544 0.7544 0.4853
11 S 0.8106 0.2561 0.7508



# 5
The following is a PBE-GGA calculation of a relaxed structure of CsTbTeS, from Alexandria.

space group	Cm, No. 8
calculated density	5.39	g/cm³
ΔE_f (raw)	-6.2	eV per formula unit
raw total energy	-19.0	eV per cell

Cell: 4.3064 4.3064 9.0082 Å, 103.78 103.78 59.98°
Fractional coordinates of all 4 atoms:
1 Cs 0.0000 0.0000 0.0000
2 Tb 0.1565 0.1565 0.4672
3 Te 0.5608 0.5608 0.6817
4 S 0.7713 0.7713 0.3114



# 6
The following is a PBE-GGA calculation of a relaxed structure of Cs4TbTh3S8, from Alexandria.

space group	R-3m, No. 166
calculated density	5.60	g/cm³
ΔE_f (raw)	-27.0	eV per formula unit
raw total energy	-90.3	eV per cell

Cell: 9.4580 9.4580 9.4580 Å, 52.08 52.08 52.08°
Fractional coordinates of all 16 atoms:
1 Cs 0.0000 0.0000 0.0000
2 Cs 0.0000 0.5000 0.5000
3 Cs 0.5000 0.0000 0.5000
4 Cs 0.5000 0.5000 0.0000
5 Tb 0.5000 0.5000 0.5000
6 Th 0.0000 0.0000 0.5000
7 Th 0.0000 0.5000 0.0000
8 Th 0.5000 0.0000 0.0000
9 S 0.2306 0.2306 0.2306
10 S 0.2320 0.7276 0.7276
11 S 0.2724 0.2724 0.7680
12 S 0.2724 0.7680 0.2724
13 S 0.7276 0.2320 0.7276
14 S 0.7276 0.7276 0.2320
15 S 0.7680 0.2724 0.2724
16 S 0.7694 0.7694 0.7694



# 7
The following is a PBE-GGA calculation of a relaxed structure of Cs4Tb3ThS8, from Alexandria.

space group	R-3m, No. 166
calculated density	5.18	g/cm³
ΔE_f (raw)	-28.6	eV per formula unit
raw total energy	-86.4	eV per cell

Cell: 9.3976 9.3976 9.3976 Å, 52.21 52.21 52.21°
Fractional coordinates of all 16 atoms:
1 Cs 0.0000 0.0000 0.0000
2 Cs 0.0000 0.5000 0.5000
3 Cs 0.5000 0.0000 0.5000
4 Cs 0.5000 0.5000 0.0000
5 Tb 0.0000 0.0000 0.5000
6 Tb 0.0000 0.5000 0.0000
7 Tb 0.5000 0.0000 0.0000
8 Th 0.5000 0.5000 0.5000
9 S 0.2272 0.2272 0.2272
10 S 0.2270 0.7285 0.7285
11 S 0.2715 0.2715 0.7730
12 S 0.2715 0.7730 0.2715
13 S 0.7285 0.2270 0.7285
14 S 0.7285 0.7285 0.2270
15 S 0.7730 0.2715 0.2715
16 S 0.7728 0.7728 0.7728



# 8
The following is a PBE-GGA calculation of a relaxed structure of Cs2TbThS4, from Alexandria.

space group	P2/m, No. 10
calculated density	5.39	g/cm³
ΔE_f (raw)	-13.9	eV per formula unit
raw total energy	-44.2	eV per cell

Cell: 7.1715 4.1550 8.4583 Å, 90.00 106.42 90.00°
Fractional coordinates of all 8 atoms:
1 Cs 0.0000 0.0000 0.0000
2 Cs 0.5000 0.5000 0.0000
3 Tb 0.0000 0.5000 0.5000
4 Th 0.5000 0.0000 0.5000
5 S 0.2269 0.0000 0.6839
6 S 0.2681 0.5000 0.3127
7 S 0.7319 0.5000 0.6873
8 S 0.7731 0.0000 0.3161



# 9
The following is a PBE-GGA calculation of a relaxed structure of CsTbTiS4, from Alexandria.

space group	P2_1/m, No. 11
calculated density	3.75	g/cm³
ΔE_f (raw)	-11.3	eV per formula unit
raw total energy	-82.4	eV per cell

Cell: 6.6548 6.8733 9.5689 Å, 90.00 108.71 90.00°
Fractional coordinates of all 14 atoms:
1 Cs 0.2314 0.2500 0.4402
2 Cs 0.7686 0.7500 0.5598
3 Tb 0.2902 0.2500 0.9566
4 Tb 0.7098 0.7500 0.0434
5 Ti 0.2634 0.7500 0.1575
6 Ti 0.7366 0.2500 0.8425
7 S 0.0463 0.7500 0.9276
8 S 0.0587 0.7500 0.3043
9 S 0.4990 0.5009 0.8114
10 S 0.4990 0.9991 0.8114
11 S 0.5010 0.0009 0.1886
12 S 0.5010 0.4991 0.1886
13 S 0.9413 0.2500 0.6957
14 S 0.9537 0.2500 0.0724



# 10
The following is a PBE-GGA calculation of a relaxed structure of Cs2Tb2TiS6, from Alexandria.

space group	C2/m, No. 12
calculated density	4.22	g/cm³
ΔE_f (raw)	-18.4	eV per formula unit
raw total energy	-62.1	eV per cell

Cell: 6.7399 6.7399 8.5455 Å, 98.03 98.03 119.52°
Fractional coordinates of all 11 atoms:
1 Cs 0.1708 0.8292 0.0000
2 Cs 0.8292 0.1708 0.0000
3 Tb 0.3330 0.6670 0.5000
4 Tb 0.6670 0.3330 0.5000
5 Ti 0.0000 0.0000 0.5000
6 S 0.0620 0.3659 0.6744
7 S 0.2423 0.2423 0.3277
8 S 0.3659 0.0620 0.6744
9 S 0.6341 0.9380 0.3256
10 S 0.7577 0.7577 0.6723
11 S 0.9380 0.6341 0.3256



# 11
The following is a PBE-GGA calculation of a relaxed structure of Cs2TbTiS4, from Alexandria.

space group	Fddd, No. 70
calculated density	3.28	g/cm³
ΔE_f (raw)	-11.2	eV per formula unit
raw total energy	-83.9	eV per cell

Cell: 14.9134 13.3640 8.0118 Å, 84.54 63.13 32.33°
Fractional coordinates of all 16 atoms:
1 Cs 0.0532 0.0532 0.6968
2 Cs 0.3032 0.3032 0.9468
3 Cs 0.6968 0.6968 0.0532
4 Cs 0.9468 0.9468 0.3032
5 Tb 0.1250 0.1250 0.1250
6 Tb 0.8750 0.8750 0.8750
7 Ti 0.3750 0.3750 0.3750
8 Ti 0.6250 0.6250 0.6250
9 S 0.0125 0.6383 0.5482
10 S 0.3009 0.5482 0.6383
11 S 0.3617 0.9875 0.6991
12 S 0.4518 0.6991 0.9875
13 S 0.5482 0.3009 0.0125
14 S 0.6383 0.0125 0.3009
15 S 0.6991 0.4518 0.3617
16 S 0.9875 0.3617 0.4518



# 12
The following is a PBE-GGA calculation of a relaxed structure of Cs3TbTm2S6, from Alexandria.

space group	C2/m, No. 12
calculated density	5.19	g/cm³
ΔE_f (raw)	-21.9	eV per formula unit
raw total energy	-62.8	eV per cell

Cell: 7.0613 7.0613 8.3928 Å, 98.06 98.06 120.00°
Fractional coordinates of all 12 atoms:
1 Cs 0.0000 0.0000 0.0000
2 Cs 0.3339 0.6661 0.0000
3 Cs 0.6661 0.3339 0.0000
4 Tb 0.5000 0.5000 0.5000
5 Tm 0.1667 0.8333 0.5000
6 Tm 0.8333 0.1667 0.5000
7 S 0.1021 0.4399 0.3195
8 S 0.2224 0.2224 0.6802
9 S 0.4399 0.1021 0.3195
10 S 0.5601 0.8979 0.6805
11 S 0.7776 0.7776 0.3198
12 S 0.8979 0.5601 0.6805